Compound: ScSbP2
Source: Alexandria via LeMat-Bulk
Functional: PBE-GGA
Structure: relaxed

The space group is I-42d (No. 122) and the conventional cell measures 5.999, 5.999 and 12.411 Å, with angles of 90.00, 90.00 and 90.00 degrees. The distinct sites, in fractional coordinates, are Sc at (0.000, 0.000, 0.000), Sb at (0.000, 0.000, 0.500) and P at (0.233, 0.250, 0.125).

The calculation puts the energy relative to the elements, uncorrected at -0.265 eV per atom.